Below is an optimized crystal structure of Dy2PuSc, with properties calculated at the PBE-GGA level.

Its energy relative to the elements is 0.11 eV per atom. The energy above the most stable polymorph in this dataset is 0 meV per atom. The calculated density is 8.93 g/cm³. The calculation puts the total energy at -7.36 eV/atom.

The space group is P4/mmm (No. 123) and the conventional cell measures 3.419, 3.419 and 9.769 Å, with angles of 90.00, 90.00 and 90.00 degrees. The inequivalent atoms are Dy at (0.000, 0.000, 0.244), Pu at (0.500, 0.500, 0.500) and Sc at (0.500, 0.500, 0.000).